No. 1
A plane-wave DFT calculation with PBE-GGA was carried out for TmZrTiAl after structural relaxation.

Lattice parameters (Å, degrees): 4.9573 4.9573 4.9573 60.00 60.00 60.00
Closest atoms and distances in Å follow each position.
Positions (direct):
Tm1 0.0000 0.0000 0.0000  4 Al 3.04, 4 Ti 3.04
Zr1 0.5000 0.5000 0.5000  4 Ti 3.04, 4 Al 3.04
Ti1 0.2500 0.2500 0.2500  4 Zr 3.04, 4 Tm 3.04
Al1 0.7500 0.7500 0.7500  4 Zr 3.04, 4 Tm 3.04

The total magnetization comes out at 2.950 μB per cell. The value obtained for the formation energy is -35 kJ/mol of formula units.

---

No. 2
A plane-wave DFT calculation with PBE-GGA was carried out for ZnBiAu2 after structural relaxation.

Lattice parameters (Å, degrees): 5.5689 4.4215 7.1774 90.00 108.87 90.00
Closest atoms and distances in Å follow each position.
Positions (direct):
Zn1 0.1991 0.2500 0.4192  6 Au 2.67-2.88
Zn2 0.8009 0.7500 0.5808  6 Au 2.67-2.88
Bi1 0.2199 0.2500 0.9231  6 Au 2.93-3.15
Bi2 0.7801 0.7500 0.0769  6 Au 2.93-3.15
Au1 0.3015 0.7500 0.6534  3 Zn 2.67-2.72, 3 Au 2.93
Au2 0.3346 0.7500 0.2539  3 Zn 2.73-2.88, 3 Au 2.93, 1 Bi 2.93
Au3 0.6654 0.2500 0.7461  3 Zn 2.73-2.88, 3 Au 2.93, 1 Bi 2.93
Au4 0.6985 0.2500 0.3466  3 Zn 2.67-2.72, 3 Au 2.93

The total magnetization comes out at 0.000 μB per cell. The value obtained for the formation energy is -46 kJ/mol of formula units.

---

No. 3
A plane-wave DFT calculation with PBE-GGA was carried out for Rb2H2SeCl2 after structural relaxation.

Lattice parameters (Å, degrees): 5.1529 5.1692 8.1024 81.89 81.69 74.81
Closest atoms and distances in Å follow each position.
Positions (direct):
Rb1 0.1775 0.1742 0.2726  2 H 3.16, 4 Cl 3.36-3.47, 1 Se 3.50
Rb2 0.8225 0.8258 0.7274  2 H 3.16, 4 Cl 3.36-3.47, 1 Se 3.50
H1 0.3450 0.3475 0.6794  1 Cl 1.57, 1 Se 1.74
H2 0.6550 0.6525 0.3206  1 Cl 1.57, 1 Se 1.74
Se1 0.5000 0.5000 0.5000  2 H 1.74
Cl1 0.2047 0.2091 0.8403  1 H 1.57
Cl2 0.7953 0.7909 0.1597  1 H 1.57

The total magnetization comes out at 0.001 μB per cell. The calculation puts the total energy at -3.187 eV/atom.

---

No. 4
A plane-wave DFT calculation with PBE-GGA was carried out for KEuTeAu after structural relaxation.

Lattice parameters (Å, degrees): 5.5841 5.5841 5.5841 60.00 60.00 60.00
Closest atoms and distances in Å follow each position.
Positions (direct):
K1 0.0000 0.0000 0.0000  4 Te 3.42, 4 Au 3.42
Eu1 0.5000 0.5000 0.5000  4 Te 3.42, 4 Au 3.42
Te1 0.7500 0.7500 0.7500  4 K 3.42, 4 Eu 3.42
Au1 0.2500 0.2500 0.2500  4 K 3.42, 4 Eu 3.42

The total magnetization comes out at 7.000 μB per cell. Its raw formation energy is -20.8 kcal/mol of atoms.

---

No. 5
A plane-wave DFT calculation with PBE-GGA was carried out for NdScCd after structural relaxation.

Lattice parameters (Å, degrees): 8.5858 8.5858 5.1770 90.00 90.00 155.39
Closest atoms and distances in Å follow each position.
Positions (direct):
Nd1 0.2237 0.7763 0.7500  2 Cd 3.28, 6 Nd 3.29-3.66, 2 Sc 3.48
Nd2 0.7763 0.2237 0.2500  2 Cd 3.28, 6 Nd 3.29-3.66, 2 Sc 3.48
Sc1 0.0849 0.9151 0.2500  6 Cd 3.06-3.19
Sc2 0.9151 0.0849 0.7500  6 Cd 3.06-3.19
Cd1 0.4386 0.5614 0.2500  6 Sc 3.06-3.19, 2 Nd 3.28, 2 Cd 3.31
Cd2 0.5614 0.4386 0.7500  6 Sc 3.06-3.19, 2 Nd 3.28, 2 Cd 3.31

For the excess energy over the best structure of this formula in the dataset, the calculation gives 42 meV per atom. The total magnetization comes out at 0.000 μB per cell. The value obtained for the formation energy is -37 kJ/mol of formula units.

---

No. 6
A plane-wave DFT calculation with PBE-GGA was carried out for Li2SmErSi2 after structural relaxation.

Lattice parameters (Å, degrees): 4.3917 4.3917 7.1948 90.00 90.00 120.00
Closest atoms and distances in Å follow each position.
Positions (direct):
Li1 0.3333 0.6667 0.2232  3 Si 2.54
Li2 0.6667 0.3333 0.7768  3 Si 2.54
Sm1 0.0000 0.0000 0.5000  6 Si 3.16, 6 Li 3.22
Er1 0.0000 0.0000 0.0000  6 Li 3.00, 6 Si 3.06
Si1 0.3333 0.6667 0.7611  3 Li 2.54
Si2 0.6667 0.3333 0.2389  3 Li 2.54

The total magnetization comes out at 0.000 μB per cell. Its raw formation energy is -12.9 kcal/mol of atoms.

---

No. 7
A plane-wave DFT calculation with PBE-GGA was carried out for La8C3Cl4O after structural relaxation.

Lattice parameters (Å, degrees): 8.5282 8.5282 8.5282 53.27 53.27 53.27
Closest atoms and distances in Å follow each position.
Positions (direct):
La1 0.2306 0.7304 0.7304  1 O 2.61, 2 C 2.61
La2 0.2317 0.2317 0.2317  3 C 2.63
La3 0.2696 0.2696 0.7694  1 O 2.61, 2 C 2.61
La4 0.2696 0.7694 0.2696  1 O 2.61, 2 C 2.61
La5 0.7304 0.2306 0.7304  1 O 2.61, 2 C 2.61
La6 0.7304 0.7304 0.2306  1 O 2.61, 2 C 2.61
La7 0.7683 0.7683 0.7683  3 C 2.63
La8 0.7694 0.2696 0.2696  1 O 2.61, 2 C 2.61
C1 0.0000 0.0000 0.5000  6 La 2.61-2.63
C2 0.0000 0.5000 0.0000  6 La 2.61-2.63
C3 0.5000 0.0000 0.0000  6 La 2.61-2.63
Cl1 0.0000 0.0000 0.0000  6 La 3.15
Cl2 0.0000 0.5000 0.5000  6 La 3.13-3.15
Cl3 0.5000 0.0000 0.5000  6 La 3.13-3.15
Cl4 0.5000 0.5000 0.0000  6 La 3.13-3.15
O1 0.5000 0.5000 0.5000  6 La 2.61

The total magnetization comes out at 0.000 μB per cell. Its raw formation energy is -31.2 kcal/mol of atoms.

---

No. 8
A plane-wave DFT calculation with PBE-GGA was carried out for Co2RePt after structural relaxation.

Lattice parameters (Å, degrees): 2.6560 3.6146 5.3723 90.00 90.00 90.00
Closest atoms and distances in Å follow each position.
Positions (direct):
Co1 0.0000 0.0000 0.2327  3 Co 2.50-2.66, 4 Re 2.57, 4 Pt 2.66
Co2 0.0000 0.0000 0.7673  3 Co 2.50-2.66, 4 Re 2.57, 4 Pt 2.66
Re1 0.5000 0.5000 0.0000  8 Co 2.57, 2 Re 2.66, 2 Pt 2.69
Pt1 0.5000 0.5000 0.5000  2 Pt 2.66, 8 Co 2.66, 2 Re 2.69

For the excess energy over the best structure of this formula in the dataset, the calculation gives 3 meV per atom. The total magnetization comes out at 0.744 μB per cell. The value obtained for the formation energy is -4 kJ/mol of formula units.

---

No. 9
A plane-wave DFT calculation with PBE-GGA was carried out for TaZn5 after structural relaxation.

Lattice parameters (Å, degrees): 5.0648 5.0648 5.0648 60.00 60.00 60.00
Closest atoms and distances in Å follow each position.
Positions (direct):
Ta1 0.0000 0.0000 0.0000  16 Zn 2.97-3.10
Zn1 0.3740 0.3740 0.3740  6 Zn 2.51-2.55
Zn2 0.3740 0.3740 0.8779  6 Zn 2.51-2.55
Zn3 0.3740 0.8779 0.3740  6 Zn 2.51-2.55
Zn4 0.7500 0.7500 0.7500  12 Zn 2.97, 4 Ta 3.10
Zn5 0.8779 0.3740 0.3740  6 Zn 2.51-2.55

The total magnetization comes out at 0.005 μB per cell. The value obtained for the formation energy is 149 kJ/mol of formula units.

---

No. 10
A plane-wave DFT calculation with PBE-GGA was carried out for MnSe after structural relaxation.

Lattice parameters (Å, degrees): 6.9725 6.9725 6.5725 114.05 114.05 30.98
Closest atoms and distances in Å follow each position.
Positions (direct):
Mn1 0.0000 0.0000 0.0000  5 Se 2.56-2.65
Mn2 0.5227 0.5227 0.3845  3 Se 2.48-2.49
Mn3 0.8331 0.8331 0.2008  4 Se 2.52-2.55
Se1 0.3519 0.3519 0.9547  5 Mn 2.55-2.79
Se2 0.6409 0.6409 0.1779  4 Mn 2.49-2.56
Se3 0.9864 0.9864 0.5928  4 Mn 2.48-2.60

The total magnetization comes out at 12.767 μB per cell. Its raw formation energy is -5.3 kcal/mol of atoms.